Record 1
! La2Ir2F (PBE-GGA, relaxed); values from VASP
&SYSTEM
  ibrav = 0, nat = 10, ntyp = 3
/
ATOMIC_SPECIES
La 138.91 La.upf
Ir 192.22 Ir.upf
F 19.00 F.upf
CELL_PARAMETERS angstrom
7.9985 0.0000 0.0000
0.0000 7.9985 0.0000
0.0000 0.0000 3.5595
ATOMIC_POSITIONS crystal
La 0.1879 0.3121 0.0000
La 0.3121 0.8121 0.0000
La 0.6879 0.1879 0.0000
La 0.8121 0.6879 0.0000
Ir 0.1158 0.6158 0.5000
Ir 0.3842 0.1158 0.5000
Ir 0.6158 0.8842 0.5000
Ir 0.8842 0.3842 0.5000
F 0.0000 0.0000 0.5000
F 0.5000 0.5000 0.5000
! * symmetry: No. 127
! * E above lowest polymorph: 0.0 meV per atom
! * electronic total energy: -6.749 eV per atom
! * E_form (uncorrected): -859.5 meV/atom
! * total moment: 0.67 μB/f.u.

=====

Record 2
! CoPtCl2 (PBE-GGA, relaxed); values from VASP
&SYSTEM
  ibrav = 0, nat = 4, ntyp = 3
/
ATOMIC_SPECIES
Co 58.93 Co.upf
Pt 195.08 Pt.upf
Cl 35.45 Cl.upf
CELL_PARAMETERS angstrom
2.4554 -6.8917 0.0000
2.4554 6.8917 0.0000
-1.9298 0.0000 2.4414
ATOMIC_POSITIONS crystal
Co 0.0000 0.0000 0.0000
Pt 0.8438 0.1562 0.5000
Cl 0.3151 0.6849 0.5000
Cl 0.5536 0.4464 0.0000
! * symmetry: No. 5
! * E above lowest polymorph: 361.1 meV per atom
! * electronic total energy: -3.941 eV per atom
! * E_form (uncorrected): 269.4 meV/atom
! * total moment: 2.46 μB/f.u.